# 1
Entry from Alexandria via LeMat-Bulk: CaTb3In2 after structural relaxation (PBE).

The structure belongs to space group C2/m (No. 12); the cell edges are 16.2521, 5.4608 and 9.1722 Å and the angles 90.00°, 117.22° and 90.00°. The distinct sites, in fractional coordinates, are Ca at (0.1357, 0.0000, 0.1866), Tb at (0.0600, 0.0000, 0.7128), Tb at (0.1156, 0.5000, 0.5381), Tb at (0.1906, 0.5000, 0.9936), In at (0.0235, 0.5000, 0.1701) and In at (0.2282, 0.0000, 0.6036).

Its crystal system is monoclinic. The value obtained for the excess energy over the best structure of this formula in the dataset is 0.93 eV per formula unit. The volume is 723.9 Å³ per cell. The calculation puts the formation energy at -0.22 eV/atom.



# 2
Entry from Alexandria via LeMat-Bulk: CaTbIn4 after structural relaxation (PBE).

The structure belongs to space group F-43m (No. 216); the cell edges are 8.5820, 8.5820 and 8.5820 Å and the angles 90.00°, 90.00° and 90.00°. The distinct sites, in fractional coordinates, are Ca at (0.0000, 0.0000, 0.0000), Tb at (0.2500, 0.2500, 0.7500) and In at (0.1248, 0.1248, 0.3752).

Its crystal system is cubic. The value obtained for the excess energy over the best structure of this formula in the dataset is 0.39 eV per formula unit. The volume is 632.1 Å³ per cell. The calculation puts the formation energy at -0.32 eV/atom.



# 3
Entry from Alexandria via LeMat-Bulk: Ca2TbIn after structural relaxation (PBE).

The structure belongs to space group P4/mmm (No. 123); the cell edges are 4.8623, 4.8623 and 5.2503 Å and the angles 90.00°, 90.00° and 90.00°. The distinct sites, in fractional coordinates, are Ca at (0.0000, 0.5000, 0.0000), Tb at (0.0000, 0.0000, 0.5000) and In at (0.5000, 0.5000, 0.5000).

Its crystal system is tetragonal. The value obtained for the excess energy over the best structure of this formula in the dataset is 0.00 eV per formula unit. The volume is 124.1 Å³ per cell. The calculation puts the formation energy at -0.22 eV/atom.



# 4
Entry from Alexandria via LeMat-Bulk: Ca5TbIn6 after structural relaxation (PBE).

The structure belongs to space group C2/m (No. 12); the cell edges are 17.0107, 7.7787 and 5.3958 Å and the angles 90.00°, 108.03° and 90.00°. The distinct sites, in fractional coordinates, are Ca at (0.0000, 0.0000, 0.0000), Ca at (0.1659, 0.0000, 0.6652), Ca at (0.1709, 0.5000, 0.6704), Tb at (0.0000, 0.5000, 0.0000), In at (0.0000, 0.2562, 0.5000) and In at (0.1640, 0.2536, 0.1629).

Its crystal system is monoclinic. The volume is 678.9 Å³ per cell. The calculation puts the formation energy at -0.47 eV/atom.